# 1
Material: DyThRhAu
Method: DFT, PBE-GGA
State: optimized geometry

## Properties
As for the formation enthalpy at 0 K: -16.6 kcal/mol of atoms. As for the mass density: 12.4 g/cm³. The energy is -6.382 eV per atom.

Cell and atoms, written as CIF:
```
data_DyThRhAu
_cell_length_a 7.1867
_cell_length_b 7.1867
_cell_length_c 7.1867
_cell_angle_alpha 90.00
_cell_angle_beta 90.00
_cell_angle_gamma 90.00
_symmetry_space_group_name_H-M 'F -4 3 m'
_symmetry_Int_Tables_number 216
_symmetry_space_group_name_Hall 'F -4 2 3'
loop_
_atom_site_label
_atom_site_fract_x
_atom_site_fract_y
_atom_site_fract_z
Dy1 0.0000 0.0000 0.0000
Th1 0.0000 0.0000 0.5000
Rh1 0.2500 0.2500 0.2500
Au1 0.2500 0.2500 0.7500
```

---

# 2
Material: Er4Hg3
Method: DFT, PBE-GGA
State: optimized geometry

## Properties
As for the formation enthalpy at 0 K: -7.3 kcal/mol of atoms. As for the mass density: 11.0 g/cm³. The energy is -3.053 eV per atom.

Cell and atoms, written as CIF:
```
data_Er4Hg3
_cell_length_a 5.1424
_cell_length_b 5.1424
_cell_length_c 25.1668
_cell_angle_alpha 90.00
_cell_angle_beta 90.00
_cell_angle_gamma 120.00
_symmetry_space_group_name_H-M 'R -3 m'
_symmetry_Int_Tables_number 166
_symmetry_space_group_name_Hall '-R 3 2"'
loop_
_atom_site_label
_atom_site_fract_x
_atom_site_fract_y
_atom_site_fract_z
Er1 0.0000 0.0000 0.1211
Er2 0.0000 0.0000 0.3729
Hg1 0.0000 0.0000 0.2524
Hg2 0.0000 0.0000 0.5000
```

---

# 3
Material: Np2ReHg
Method: DFT, PBE-GGA
State: optimized geometry

## Properties
As for the formation enthalpy at 0 K: 5.4 kcal/mol of atoms. As for the mass density: 16.3 g/cm³. The energy is -9.423 eV per atom.

Cell and atoms, written as CIF:
```
data_Np2ReHg
_cell_length_a 3.1874
_cell_length_b 3.1874
_cell_length_c 8.6522
_cell_angle_alpha 90.00
_cell_angle_beta 90.00
_cell_angle_gamma 90.00
_symmetry_space_group_name_H-M 'P 4/m m m'
_symmetry_Int_Tables_number 123
_symmetry_space_group_name_Hall '-P 4 2'
loop_
_atom_site_label
_atom_site_fract_x
_atom_site_fract_y
_atom_site_fract_z
Np1 0.0000 0.0000 0.2101
Re1 0.5000 0.5000 0.0000
Hg1 0.5000 0.5000 0.5000
```

---

# 4
Material: HoB3Os3
Method: DFT, PBE-GGA
State: optimized geometry

## Properties
As for the formation enthalpy at 0 K: -3.3 kcal/mol of atoms. As for the mass density: 14.6 g/cm³. The energy is -8.472 eV per atom.

Cell and atoms, written as CIF:
```
data_HoB3Os3
_cell_length_a 7.9966
_cell_length_b 7.9966
_cell_length_c 3.1508
_cell_angle_alpha 90.00
_cell_angle_beta 90.00
_cell_angle_gamma 120.00
_symmetry_space_group_name_H-M 'P 63/m'
_symmetry_Int_Tables_number 176
_symmetry_space_group_name_Hall '-P 6c'
loop_
_atom_site_label
_atom_site_fract_x
_atom_site_fract_y
_atom_site_fract_z
Ho1 0.3333 0.6667 0.2500
B1 0.0437 0.4622 0.7500
Os1 0.0821 0.7586 0.7500
```

---

# 5
Material: Tm6In2Ir
Method: DFT, PBE-GGA
State: optimized geometry

## Properties
As for the formation enthalpy at 0 K: -11.3 kcal/mol of atoms. As for the mass density: 9.9 g/cm³. The energy is -5.063 eV per atom.

Cell and atoms, written as CIF:
```
data_Tm6In2Ir
_cell_length_a 3.8265
_cell_length_b 14.7240
_cell_length_c 8.5144
_cell_angle_alpha 90.00
_cell_angle_beta 90.00
_cell_angle_gamma 90.00
_symmetry_space_group_name_H-M 'A m m 2'
_symmetry_Int_Tables_number 38
loop_
_symmetry_equiv_pos_as_xyz
'x,y,z'
'-x,-y,z'
'-x,y,z'
'x,-y,z'
'x,y+1/2,z+1/2'
'-x,-y+1/2,z+1/2'
'-x,y+1/2,z+1/2'
'x,-y+1/2,z+1/2'
loop_
_atom_site_label
_atom_site_fract_x
_atom_site_fract_y
_atom_site_fract_z
Tm1 0.0000 0.0000 0.0000
Tm2 0.0000 0.1213 0.6337
Tm3 0.5000 0.0000 0.3682
Tm4 0.5000 0.1930 0.9485
In1 0.0000 0.1669 0.2555
Ir1 0.5000 0.0000 0.7573
```

---

# 6
Material: ZrCu3C
Method: DFT, PBE-GGA
State: optimized geometry

## Properties
As for the formation enthalpy at 0 K: 9.7 kcal/mol of atoms. As for the mass density: 7.6 g/cm³. The energy is -5.592 eV per atom.

Cell and atoms, written as CIF:
```
data_ZrCu3C
_cell_length_a 4.0056
_cell_length_b 4.0056
_cell_length_c 4.0056
_cell_angle_alpha 90.00
_cell_angle_beta 90.00
_cell_angle_gamma 90.00
_symmetry_space_group_name_H-M 'P m -3 m'
_symmetry_Int_Tables_number 221
_symmetry_space_group_name_Hall '-P 4 2 3'
loop_
_atom_site_label
_atom_site_fract_x
_atom_site_fract_y
_atom_site_fract_z
Zr1 0.0000 0.0000 0.0000
Cu1 0.0000 0.5000 0.5000
C1 0.5000 0.5000 0.5000
```

---

# 7
Material: NaEr2PaBi4
Method: DFT, PBE-GGA
State: optimized geometry

## Properties
As for the formation enthalpy at 0 K: -10.5 kcal/mol of atoms. As for the mass density: 9.3 g/cm³. The energy is -4.890 eV per atom.

Cell and atoms, written as CIF:
```
data_NaEr2PaBi4
_cell_length_a 7.6885
_cell_length_b 4.4903
_cell_length_c 7.7882
_cell_angle_alpha 90.00
_cell_angle_beta 108.52
_cell_angle_gamma 90.00
_symmetry_space_group_name_H-M 'P 1 2/m 1'
_symmetry_Int_Tables_number 10
loop_
_symmetry_equiv_pos_as_xyz
'x,y,z'
'-x,-y,-z'
'-x,y,-z'
'x,-y,z'
loop_
_atom_site_label
_atom_site_fract_x
_atom_site_fract_y
_atom_site_fract_z
Na1 0.0000 0.0000 0.0000
Er1 0.0000 0.5000 0.5000
Er2 0.5000 0.0000 0.5000
Pa1 0.5000 0.5000 0.0000
Bi1 0.2514 0.0000 0.7505
Bi2 0.2603 0.5000 0.2534
```

---

# 8
Material: PuInSi
Method: DFT, PBE-GGA
State: optimized geometry

## Properties
The formation energy (no corrections) comes out at -0.7 eV/f.u. As for the mass density: 9.5 g/cm³. The energy is -7.746 eV per atom.

Cell and atoms, written as CIF:
```
data_PuInSi
_cell_length_a 3.3360
_cell_length_b 19.6496
_cell_length_c 4.1112
_cell_angle_alpha 90.00
_cell_angle_beta 90.00
_cell_angle_gamma 90.00
_symmetry_space_group_name_H-M 'C m c m'
_symmetry_Int_Tables_number 63
_symmetry_space_group_name_Hall '-C 2c 2'
loop_
_atom_site_label
_atom_site_fract_x
_atom_site_fract_y
_atom_site_fract_z
Pu1 0.0000 0.0963 0.2500
In1 0.0000 0.2930 0.2500
Si1 0.0000 0.4682 0.2500
```

---

# 9
Material: PmThAlOs
Method: DFT, PBE-GGA
State: optimized geometry

## Properties
As for the formation enthalpy at 0 K: -2.5 kcal/mol of atoms. As for the mass density: 10.5 g/cm³. The energy is -6.894 eV per atom.

Cell and atoms, written as CIF:
```
data_PmThAlOs
_cell_length_a 7.2276
_cell_length_b 7.2276
_cell_length_c 7.2276
_cell_angle_alpha 90.00
_cell_angle_beta 90.00
_cell_angle_gamma 90.00
_symmetry_space_group_name_H-M 'F -4 3 m'
_symmetry_Int_Tables_number 216
_symmetry_space_group_name_Hall 'F -4 2 3'
loop_
_atom_site_label
_atom_site_fract_x
_atom_site_fract_y
_atom_site_fract_z
Pm1 0.0000 0.0000 0.0000
Th1 0.0000 0.0000 0.5000
Al1 0.2500 0.2500 0.7500
Os1 0.2500 0.2500 0.2500
```

---

# 10
Material: TlGeS2Cl
Method: DFT, PBE-GGA
State: optimized geometry

## Properties
The formation energy (no corrections) comes out at -1.1 eV/f.u. As for the mass density: 5.2 g/cm³. The energy is -3.639 eV per atom.

Cell and atoms, written as CIF:
```
data_TlGeS2Cl
_cell_length_a 4.7629
_cell_length_b 4.7629
_cell_length_c 5.2955
_cell_angle_alpha 90.00
_cell_angle_beta 90.00
_cell_angle_gamma 90.00
_symmetry_space_group_name_H-M 'P 4/m m m'
_symmetry_Int_Tables_number 123
_symmetry_space_group_name_Hall '-P 4 2'
loop_
_atom_site_label
_atom_site_fract_x
_atom_site_fract_y
_atom_site_fract_z
Tl1 0.0000 0.0000 0.0000
Ge1 0.5000 0.5000 0.5000
S1 0.0000 0.5000 0.5000
Cl1 0.5000 0.5000 0.0000
```

---

# 11
Material: InIrRu2
Method: DFT, PBE-GGA
State: optimized geometry

## Properties
As for the formation enthalpy at 0 K: 4.0 kcal/mol of atoms. As for the mass density: 13.6 g/cm³. The energy is -7.362 eV per atom.

Cell and atoms, written as CIF:
```
data_InIrRu2
_cell_length_a 3.9429
_cell_length_b 3.9429
_cell_length_c 7.9686
_cell_angle_alpha 90.00
_cell_angle_beta 90.00
_cell_angle_gamma 90.00
_symmetry_space_group_name_H-M 'I 4/m m m'
_symmetry_Int_Tables_number 139
_symmetry_space_group_name_Hall '-I 4 2'
loop_
_atom_site_label
_atom_site_fract_x
_atom_site_fract_y
_atom_site_fract_z
In1 0.0000 0.0000 0.0000
Ir1 0.0000 0.0000 0.5000
Ru1 0.0000 0.5000 0.2500
```

---

# 12
Material: Ca2FeRh
Method: DFT, PBE-GGA
State: optimized geometry

## Properties
As for the formation enthalpy at 0 K: 8.4 kcal/mol of atoms. As for the mass density: 4.6 g/cm³. The energy is -4.591 eV per atom.

Cell and atoms, written as CIF:
```
data_Ca2FeRh
_cell_length_a 3.3166
_cell_length_b 3.3166
_cell_length_c 27.1442
_cell_angle_alpha 90.00
_cell_angle_beta 90.00
_cell_angle_gamma 120.00
_symmetry_space_group_name_H-M 'R -3 m'
_symmetry_Int_Tables_number 166
_symmetry_space_group_name_Hall '-R 3 2"'
loop_
_atom_site_label
_atom_site_fract_x
_atom_site_fract_y
_atom_site_fract_z
Ca1 0.0000 0.0000 0.2438
Fe1 0.0000 0.0000 0.0000
Rh1 0.0000 0.0000 0.5000
```